# 1
LiCu (meta-GGA SCAN, single point on PBEsol structure); symmetry = No. 12; formation energy = 0.00 eV/atom
1.0
9.483 0.000 0.000
0.000 2.523 0.000
-2.083 0.000 4.124
Li Cu
4 4
Direct
0.115 0.000 0.443
0.385 0.500 0.557
0.615 0.500 0.443
0.885 0.000 0.557
0.132 0.500 0.975
0.368 0.000 0.025
0.632 0.000 0.975
0.868 0.500 0.025


# 2
BaSrIn2 (meta-GGA SCAN, single point on PBEsol structure); symmetry = No. 123; formation energy = -0.57 eV/atom
1.0
4.104 0.000 0.000
0.000 4.104 0.000
0.000 0.000 8.134
Ba Sr In
1 1 2
Direct
0.000 0.000 0.000
0.000 0.000 0.500
0.500 0.500 0.279
0.500 0.500 0.721


# 3
CrCoC2 (meta-GGA SCAN, single point on PBEsol structure); symmetry = No. 225; formation energy = 1.05 eV/atom
1.0
4.937 0.000 0.000
0.000 4.937 0.000
0.000 0.000 4.937
Cr Co C
4 4 8
Direct
0.000 0.000 0.000
0.000 0.500 0.500
0.500 0.000 0.500
0.500 0.500 0.000
0.000 0.000 0.500
0.000 0.500 0.000
0.500 0.000 0.000
0.500 0.500 0.500
0.250 0.250 0.250
0.250 0.250 0.750
0.250 0.750 0.250
0.250 0.750 0.750
0.750 0.250 0.250
0.750 0.250 0.750
0.750 0.750 0.250
0.750 0.750 0.750


# 4
BaYTe2I (meta-GGA SCAN, single point on PBEsol structure); energy relative to the elements, uncorrected = -1.5356 eV/atom; distance to the lowest polymorph of the same formula = 0.0 kJ/mol of atoms; symmetry = No. 123
1.0
5.856 0.000 0.000
0.000 5.856 0.000
0.000 0.000 5.777
Ba Y Te I
1 1 2 1
Direct
0.000 0.000 0.000
0.500 0.500 0.500
0.000 0.500 0.500
0.500 0.000 0.500
0.500 0.500 0.000


# 5
TaBe2Al (meta-GGA SCAN, single point on PBEsol structure); symmetry = No. 119; formation energy = 0.08 eV/atom
1.0
3.483 0.000 0.000
0.000 3.483 0.000
0.000 0.000 8.442
Ta Be Al
2 4 2
Direct
0.000 0.000 0.000
0.500 0.500 0.500
0.000 0.000 0.500
0.000 0.500 0.750
0.500 0.000 0.250
0.500 0.500 0.000
0.000 0.500 0.250
0.500 0.000 0.750


# 6
SrCa2P (meta-GGA SCAN, single point on PBEsol structure); symmetry = No. 216; formation energy = -0.02 eV/atom
1.0
7.708 0.000 0.000
0.000 7.708 0.000
0.000 0.000 7.708
Sr Ca P
4 8 4
Direct
0.000 0.000 0.000
0.000 0.500 0.500
0.500 0.000 0.500
0.500 0.500 0.000
0.000 0.000 0.500
0.000 0.500 0.000
0.250 0.250 0.250
0.250 0.750 0.750
0.500 0.000 0.000
0.500 0.500 0.500
0.750 0.250 0.750
0.750 0.750 0.250
0.250 0.250 0.750
0.250 0.750 0.250
0.750 0.250 0.250
0.750 0.750 0.750


Number 1: total magnetization 0.0 μB per formula unit, mass density 4.75 g/cm3. Number 2: total magnetization 0.0 μB per formula unit, mass density 5.51 g/cm3. Number 3: total magnetization 0.0 μB per formula unit, mass density 7.45 g/cm3. Number 4: total magnetization 0.0 μB per formula unit, mass density 5.10 g/cm3. Number 5: total magnetization 0.1 μB per formula unit, mass density 7.33 g/cm3. Number 6: total magnetization 0.0 μB per formula unit, mass density 2.88 g/cm3.